Below is an optimized crystal structure of Ta2TcPb, with properties calculated at the PBE-GGA level.

Values from the calculation:
Formation energy from the elements   1.216 eV/f.u.
Size of the total moment   0.000 μB/atom

a = 3.4178 Å, b = 4.9459 Å, c = 9.0291 Å
α = 90.00°, β = 90.00°, γ = 90.00°
Last column: nearest neighbours and their distance in Å.
Space group Cmmm (No. 65)
Inequivalent atoms, fractional coordinates:
Ta: 0.0000 0.0000 0.2238 (multiplicity 4)  2 Tc 2.65
Tc: 0.0000 0.5000 0.0000 (multiplicity 2)  4 Ta 2.65
Pb: 0.0000 0.5000 0.5000 (multiplicity 2)  4 Pb 3.01, 4 Ta 3.02

***

Below is an optimized crystal structure of Ta2TcPb, with properties calculated at the PBE-GGA level.

Values from the calculation:
Formation energy from the elements   1.492 eV/f.u.
Size of the total moment   0.000 μB/atom

a = 3.1338 Å, b = 3.1338 Å, c = 27.5468 Å
α = 90.00°, β = 90.00°, γ = 120.00°
Last column: nearest neighbours and their distance in Å.
Space group R3m (No. 160, hexagonal axes)
Inequivalent atoms, fractional coordinates:
Ta: 0.0000 0.0000 0.0000 (multiplicity 3)  9 Ta 2.92-3.13, 3 Pb 3.14
Ta: 0.0000 0.0000 0.2501 (multiplicity 3)  3 Tc 2.63, 3 Ta 2.92
Tc: 0.0000 0.0000 0.5140 (multiplicity 3)  3 Ta 2.63
Pb: 0.0000 0.0000 0.7599 (multiplicity 3)  3 Tc 3.01, 6 Pb 3.13, 3 Ta 3.14

***

Below is an optimized crystal structure of TaTcPb2, with properties calculated at the PBE-GGA level.

Values from the calculation:
Formation energy from the elements   0.603 eV/f.u.
Size of the total moment   0.000 μB/atom

a = 3.2905 Å, b = 3.3123 Å, c = 8.8609 Å
α = 90.00°, β = 100.45°, γ = 90.00°
Last column: nearest neighbours and their distance in Å.
Space group Pm (No. 6)
Inequivalent atoms, fractional coordinates:
Ta: 0.0000 0.0000 0.0000 (multiplicity 1)  4 Tc 2.64-2.65
Tc: 0.5701 0.5000 0.1425 (multiplicity 1)  4 Ta 2.64-2.65
Pb: 0.1846 0.0000 0.3770 (multiplicity 1)  4 Tc 3.10, 1 Ta 3.28, 4 Pb 3.29-3.31
Pb: 0.3779 0.5000 0.7498 (multiplicity 1)  4 Ta 3.19, 4 Pb 3.29-3.31, 1 Tc 3.42

***

Below is an optimized crystal structure of TaTcPb2, with properties calculated at the PBE-GGA level.

Values from the calculation:
Formation energy from the elements   2.968 eV/f.u.
Size of the total moment   0.000 μB/atom

a = 3.3655 Å, b = 3.3655 Å, c = 7.1109 Å
α = 90.00°, β = 90.00°, γ = 90.00°
Last column: nearest neighbours and their distance in Å.
Space group P4/mmm (No. 123)
Inequivalent atoms, fractional coordinates:
Ta: 0.0000 0.0000 0.0000 (multiplicity 1)  8 Pb 3.05, 4 Ta 3.37
Tc: 0.0000 0.0000 0.5000 (multiplicity 1)  8 Pb 2.90
Pb: 0.5000 0.5000 0.2679 (multiplicity 2)  4 Tc 2.90, 4 Ta 3.05

***

Below is an optimized crystal structure of Ta2TcPb, with properties calculated at the PBE-GGA level.

Values from the calculation:
Formation energy from the elements   1.253 eV/f.u.
Size of the total moment   0.000 μB/atom

a = 3.3464 Å, b = 4.9937 Å, c = 9.1579 Å
α = 90.00°, β = 90.00°, γ = 90.00°
Last column: nearest neighbours and their distance in Å.
Space group Cmm2 (No. 35)
Inequivalent atoms, fractional coordinates:
Ta: 0.0000 0.0000 0.0000 (multiplicity 2)  2 Tc 2.61, 2 Ta 2.81
Ta: 0.0000 0.5000 0.2460 (multiplicity 2)  6 Ta 2.81-3.01, 2 Pb 3.02
Tc: 0.0000 0.5000 0.7819 (multiplicity 2)  2 Ta 2.61
Pb: 0.0000 0.0000 0.5206 (multiplicity 2)  2 Tc 2.92, 4 Pb 3.01, 2 Ta 3.02

***

Below is an optimized crystal structure of TaTcPb2, with properties calculated at the PBE-GGA level.

Values from the calculation:
Formation energy from the elements   3.012 eV/f.u.
Size of the total moment   0.000 μB/atom

a = 9.4555 Å, b = 3.2605 Å, c = 5.4668 Å
α = 90.00°, β = 102.89°, γ = 90.00°
Last column: nearest neighbours and their distance in Å.
Space group C2/m (No. 12)
Inequivalent atoms, fractional coordinates:
Ta: 0.0000 0.0000 0.0000 (multiplicity 2)  6 Pb 2.96-3.00, 4 Tc 3.18, 2 Ta 3.26
Tc: 0.0000 0.5000 0.5000 (multiplicity 2)  6 Pb 2.89-3.01, 4 Ta 3.18
Pb: 0.2437 0.0000 0.7415 (multiplicity 4)  3 Tc 2.89-3.01, 3 Ta 2.96-3.00, 2 Pb 3.13

***

Q: Which formula does entry 4 have?
A: TaTcPb2

***

Q: The highest formation energy from the elements belongs to which entry?
A: number 6

***

Copy entry 1 word for word.
Below is an optimized crystal structure of Ta2TcPb, with properties calculated at the PBE-GGA level.

Values from the calculation:
Formation energy from the elements   1.216 eV/f.u.
Size of the total moment   0.000 μB/atom

a = 3.4178 Å, b = 4.9459 Å, c = 9.0291 Å
α = 90.00°, β = 90.00°, γ = 90.00°
Last column: nearest neighbours and their distance in Å.
Space group Cmmm (No. 65)
Inequivalent atoms, fractional coordinates:
Ta: 0.0000 0.0000 0.2238 (multiplicity 4)  2 Tc 2.65
Tc: 0.0000 0.5000 0.0000 (multiplicity 2)  4 Ta 2.65
Pb: 0.0000 0.5000 0.5000 (multiplicity 2)  4 Pb 3.01, 4 Ta 3.02

***

Q: What is the size of the total moment in the sixth record?
A: 0.000 μB/atom